No. 1
Below is a geometry-optimized Cs2TiO2 structure, with properties calculated at the GGA-PBE level.

Lattice parameters (Å, degrees): 6.219 6.219 5.583 90.00 90.00 90.00
Atoms (fractional coordinates):
Cs (0.180, 0.680, 0.500)
Cs (0.680, 0.820, 0.500)
Cs (0.820, 0.320, 0.500)
Cs (0.320, 0.180, 0.500)
O (0.267, 0.767, 0.000)
O (0.767, 0.733, 0.000)
O (0.733, 0.233, 0.000)
O (0.233, 0.267, 0.000)
Ti (0.000, 0.000, 0.000)
Ti (0.500, 0.500, 0.000)

Summary:
- space-group type = P4/mbm, No. 127
- total magnetic moment (μB/cell) = 0.0
- density of states at the Fermi level (states/eV/atom) = 0.096
- total energy (hartree per atom) = -0.1742

No. 2
Below is a geometry-optimized CsBaRu2Pt structure, with properties calculated at the GGA-PBE level.

Lattice parameters (Å, degrees): 5.140 6.474 5.140 90.00 90.00 90.00
Atoms (fractional coordinates):
Cs (0.000, 0.500, 0.000)
Ru (0.000, 0.000, 0.500)
Ru (0.500, 0.000, 0.000)
Ba (0.000, 0.000, 0.000)
Pt (0.500, 0.500, 0.500)

Summary:
- space-group type = P4/mmm, No. 123
- energy of formation (eV per formula unit) = 10.88
- total magnetic moment (μB/cell) = 3.3
- density of states at the Fermi level (states/eV/atom) = 1.321
- total energy (hartree per atom) = -0.1212

No. 3
Below is a geometry-optimized B5C7 structure, with properties calculated at the GGA-PBE level.

Lattice parameters (Å, degrees): 2.534 4.642 6.763 91.34 90.00 90.00
Atoms (fractional coordinates):
B (0.500, 0.898, 0.354)
B (0.500, 0.478, 0.217)
B (0.000, 0.661, 0.675)
B (0.000, 0.307, 0.358)
B (0.000, 0.982, 0.002)
C (0.500, 0.496, 0.985)
C (0.500, 0.182, 0.903)
C (0.000, 0.330, 0.594)
C (0.000, 0.972, 0.237)
C (0.000, 0.654, 0.914)
C (0.500, 0.174, 0.676)
C (0.500, 0.866, 0.586)

Summary:
- space-group type = Pm, No. 6
- energy of formation (eV per formula unit) = 4.55
- total magnetic moment (μB/cell) = 0.0
- density of states at the Fermi level (states/eV/atom) = 0.193
- total energy (hartree per atom) = -0.2860

No. 4
Below is a geometry-optimized SiNiSn structure, with properties calculated at the GGA-PBE level.

Lattice parameters (Å, degrees): 3.240 3.241 11.205 90.00 90.00 119.99
Atoms (fractional coordinates):
Ni (0.444, 0.888, 0.000)
Ni (0.445, 0.890, 0.500)
Sn (0.778, 0.556, 0.334)
Sn (0.778, 0.556, 0.666)
Si (0.111, 0.221, 0.872)
Si (0.111, 0.221, 0.128)

Summary:
- space-group type = P-6m2, No. 187
- total magnetic moment (μB/cell) = 0.0
- density of states at the Fermi level (states/eV/atom) = 0.275
- total energy (hartree per atom) = -0.1847

No. 5
Below is a geometry-optimized NaSr2MgAg structure, with properties calculated at the GGA-PBE level.

Lattice parameters (Å, degrees): 6.213 6.213 5.275 90.00 90.00 90.00
Atoms (fractional coordinates):
Sr (0.000, 0.500, 0.000)
Sr (0.500, 0.000, 0.000)
Mg (0.000, 0.000, 0.500)
Ag (0.000, 0.000, 0.000)
Na (0.500, 0.500, 0.500)

Summary:
- space-group type = P4/mmm, No. 123
- energy of formation (eV per formula unit) = -0.18
- total magnetic moment (μB/cell) = 0.0
- density of states at the Fermi level (states/eV/atom) = 0.664
- total energy (hartree per atom) = -0.0684

No. 6
Below is a geometry-optimized KSCl2O structure, with properties calculated at the GGA-PBE level.

Lattice parameters (Å, degrees): 6.039 6.039 6.681 90.00 90.00 90.00
Atoms (fractional coordinates):
K (0.000, 0.000, 0.000)
S (0.000, 0.000, 0.500)
O (0.500, 0.500, 0.500)
Cl (0.000, 0.500, 0.000)
Cl (0.500, 0.000, 0.000)

Summary:
- space-group type = P4/mmm, No. 123
- total magnetic moment (μB/cell) = 1.1
- density of states at the Fermi level (states/eV/atom) = 1.615
- total energy (hartree per atom) = -0.0767

No. 7
Below is a geometry-optimized Hf3ZnGa3 structure, with properties calculated at the GGA-PBE level.

Lattice parameters (Å, degrees): 3.990 5.452 12.669 83.29 80.94 68.54
Atoms (fractional coordinates):
Hf (0.514, 0.344, 0.629)
Hf (0.486, 0.656, 0.371)
Hf (0.261, 0.255, 0.223)
Hf (0.739, 0.745, 0.777)
Hf (0.392, 0.293, 0.922)
Hf (0.608, 0.707, 0.078)
Zn (0.768, 0.080, 0.384)
Zn (0.232, 0.920, 0.616)
Ga (0.869, 0.719, 0.544)
Ga (0.131, 0.281, 0.456)
Ga (0.116, 0.841, 0.927)
Ga (0.884, 0.159, 0.073)
Ga (0.985, 0.805, 0.225)
Ga (0.015, 0.195, 0.775)

Summary:
- space-group type = C2/m, No. 12
- energy of formation (eV per formula unit) = -3.14
- total magnetic moment (μB/cell) = 0.0
- density of states at the Fermi level (states/eV/atom) = 0.418
- total energy (hartree per atom) = -0.2276

No. 8
Below is a geometry-optimized NbRuW structure, with properties calculated at the GGA-PBE level.

Lattice parameters (Å, degrees): 5.249 7.236 7.231 52.01 81.25 65.37
Atoms (fractional coordinates):
Ru (0.178, 0.632, 0.971)
Ru (0.822, 0.868, 0.529)
Ru (0.822, 0.368, 0.029)
Ru (0.178, 0.132, 0.471)
W (0.158, 0.377, 0.706)
W (0.158, 0.877, 0.206)
W (0.842, 0.623, 0.294)
W (0.842, 0.123, 0.794)
Nb (0.476, 0.634, 0.622)
Nb (0.476, 0.134, 0.122)
Nb (0.524, 0.366, 0.378)
Nb (0.524, 0.866, 0.878)

Summary:
- space-group type = P-1, No. 2
- energy of formation (eV per formula unit) = -0.07
- total magnetic moment (μB/cell) = 0.0
- density of states at the Fermi level (states/eV/atom) = 0.814
- total energy (hartree per atom) = -0.3966

> Among the records above, which one has the highest density of states at the Fermi level?

KSCl2O

> Which formula does entry 2 have?

CsBaRu2Pt

What did the first record say?
Below is a geometry-optimized Cs2TiO2 structure, with properties calculated at the GGA-PBE level.

Lattice parameters (Å, degrees): 6.219 6.219 5.583 90.00 90.00 90.00
Atoms (fractional coordinates):
Cs (0.180, 0.680, 0.500)
Cs (0.680, 0.820, 0.500)
Cs (0.820, 0.320, 0.500)
Cs (0.320, 0.180, 0.500)
O (0.267, 0.767, 0.000)
O (0.767, 0.733, 0.000)
O (0.733, 0.233, 0.000)
O (0.233, 0.267, 0.000)
Ti (0.000, 0.000, 0.000)
Ti (0.500, 0.500, 0.000)

Summary:
- space-group type = P4/mbm, No. 127
- total magnetic moment (μB/cell) = 0.0
- density of states at the Fermi level (states/eV/atom) = 0.096
- total energy (hartree per atom) = -0.1742

Copy entry 7 word for word.
Below is a geometry-optimized Hf3ZnGa3 structure, with properties calculated at the GGA-PBE level.

Lattice parameters (Å, degrees): 3.990 5.452 12.669 83.29 80.94 68.54
Atoms (fractional coordinates):
Hf (0.514, 0.344, 0.629)
Hf (0.486, 0.656, 0.371)
Hf (0.261, 0.255, 0.223)
Hf (0.739, 0.745, 0.777)
Hf (0.392, 0.293, 0.922)
Hf (0.608, 0.707, 0.078)
Zn (0.768, 0.080, 0.384)
Zn (0.232, 0.920, 0.616)
Ga (0.869, 0.719, 0.544)
Ga (0.131, 0.281, 0.456)
Ga (0.116, 0.841, 0.927)
Ga (0.884, 0.159, 0.073)
Ga (0.985, 0.805, 0.225)
Ga (0.015, 0.195, 0.775)

Summary:
- space-group type = C2/m, No. 12
- energy of formation (eV per formula unit) = -3.14
- total magnetic moment (μB/cell) = 0.0
- density of states at the Fermi level (states/eV/atom) = 0.418
- total energy (hartree per atom) = -0.2276